Density functional theory data (PBE) for crystalline KCaPt at its relaxed geometry.

ρ (Mg/m³): 4.53
Space group: I4mm, No. 107
V (Å³ per cell): 100.5
Uncorrected energy (Ry/atom): -0.2499

a = 7.707 Å, b = 7.707 Å, c = 7.707 Å
α = 152.00°, β = 152.07°, γ = 39.96°
Atoms (fractional coordinates):
Ca 0.059 0.059 0.000
K 0.299 0.299 0.000
Pt 0.642 0.642 0.000